Record 1
VASP calculation (PBE-GGA) on a relaxed structure of LaBMo.

The space group is C2/m (No. 12) and the conventional cell measures 11.397, 3.147 and 6.019 Å, with angles of 90.00, 91.77 and 90.00 degrees. Symmetry generates all atoms from La at (0.127, 0.000, 0.122), B at (0.230, 0.000, 0.548) and Mo at (0.090, 0.500, 0.615).

The formation energy comes out at -0.1 eV per formula unit. The value obtained for the total magnetization is 0.00 μB/cell. The excess energy over the best structure of this formula in the dataset is 85 meV per atom.

=====

Record 2
VASP calculation (PBE-GGA) on a relaxed structure of La3Si3Tc.

The space group is C2/m (No. 12) and the conventional cell measures 11.320, 4.385 and 14.353 Å, with angles of 90.00, 113.01 and 90.00 degrees. Symmetry generates all atoms from La at (0.026, 0.000, 0.270), La at (0.149, 0.500, 0.127), La at (0.183, 0.000, 0.579), Si at (0.029, 0.500, 0.426), Si at (0.106, 0.000, 0.957), Si at (0.172, 0.500, 0.738) and Tc at (0.173, 0.500, 0.915).

The value obtained for the total magnetization is 0.00 μB/cell. For the uncorrected formation energy, the calculation gives -666 meV per atom.

=====

Record 3
VASP calculation (PBE-GGA) on a relaxed structure of CdHgTe2.

The space group is P4/mmm (No. 123) and the conventional cell measures 5.146, 5.146 and 4.132 Å, with angles of 90.00, 90.00 and 90.00 degrees. Symmetry generates all atoms from Cd at (0.000, 0.000, 0.000), Hg at (0.500, 0.500, 0.000) and Te at (0.000, 0.500, 0.500).

The value obtained for the total magnetization is 0.00 μB/cell. The excess energy over the best structure of this formula in the dataset is 465 meV per atom. For the uncorrected formation energy, the calculation gives 152 meV per atom.

=====

Record 4
VASP calculation (PBE-GGA) on a relaxed structure of Te2SeCl.

The space group is Pm (No. 6) and the conventional cell measures 5.495, 4.156 and 5.810 Å, with angles of 90.00, 106.73 and 90.00 degrees. Symmetry generates all atoms from Te at (0.000, 0.000, 0.000), Te at (0.408, 0.500, 0.185), Se at (0.795, 0.000, 0.345) and Cl at (0.406, 0.500, 0.683).

The value obtained for the total magnetization is 0.00 μB/cell. The excess energy over the best structure of this formula in the dataset is 45 meV per atom. For the uncorrected formation energy, the calculation gives -103 meV per atom.

=====

Record 5
VASP calculation (PBE-GGA) on a relaxed structure of Ac3Nd2Pt4.

The space group is C2/m (No. 12) and the conventional cell measures 7.528, 4.347 and 17.323 Å, with angles of 90.00, 90.05 and 90.00 degrees. Symmetry generates all atoms from Ac at (0.000, 0.000, 0.000), Ac at (0.166, 0.500, 0.611), Nd at (0.167, 0.500, 0.197), Pt at (0.000, 0.000, 0.298) and Pt at (0.166, 0.500, 0.895).

The formation energy comes out at -9.0 eV per formula unit. The value obtained for the total magnetization is 0.00 μB/cell.

=====

Record 6
VASP calculation (PBE-GGA) on a relaxed structure of Li3LaI6.

The space group is P-1 (No. 2) and the conventional cell measures 8.630, 8.692 and 8.693 Å, with angles of 60.98, 60.77 and 60.77 degrees. Symmetry generates all atoms from Li at (0.000, 0.000, 0.000), Li at (0.000, 0.000, 0.500), Li at (0.000, 0.500, 0.000), La at (0.500, 0.500, 0.500), I at (0.220, 0.270, 0.777), I at (0.224, 0.781, 0.266) and I at (0.239, 0.757, 0.757).

The value obtained for the total magnetization is 0.00 μB/cell. The excess energy over the best structure of this formula in the dataset is 67 meV per atom. For the uncorrected formation energy, the calculation gives -1250 meV per atom.

=====

Record 7
VASP calculation (PBE-GGA) on a relaxed structure of ErPaHg2O6.

The space group is R-3 (No. 148, hexagonal axes) and the conventional cell measures 5.8467, 5.8467 and 15.4759 Å, with angles of 90.00, 90.00 and 120.00 degrees. Symmetry generates all atoms from Er at (0.0000, 0.0000, 0.0000), Pa at (0.0000, 0.0000, 0.5000), Hg at (0.0000, 0.0000, 0.2546) and O at (0.0078, 0.6228, 0.2499).

The value obtained for the total magnetization is 0.00 μB/cell. For the uncorrected formation energy, the calculation gives -2246 meV per atom.

=====

Record 8
VASP calculation (PBE-GGA) on a relaxed structure of Nb8CuH6.

The space group is R-3 (No. 148, hexagonal axes) and the conventional cell measures 8.3560, 8.3560 and 8.8865 Å, with angles of 90.00, 90.00 and 120.00 degrees. Symmetry generates all atoms from Nb at (0.0000, 0.0000, 0.1805), Nb at (0.0017, 0.6598, 0.0615), Cu at (0.0000, 0.0000, 0.5000) and H at (0.0765, 0.8364, 0.9015).

The value obtained for the total magnetization is 0.00 μB/cell.

=====

Record 9
VASP calculation (PBE-GGA) on a relaxed structure of YOsCl.

The space group is P-6m2 (No. 187) and the conventional cell measures 4.3736, 4.3736 and 3.3719 Å, with angles of 90.00, 90.00 and 120.00 degrees. Symmetry generates all atoms from Y at (0.0000, 0.0000, 0.0000), Os at (0.3333, 0.6667, 0.5000) and Cl at (0.6667, 0.3333, 0.5000).

The value obtained for the total magnetization is 0.00 μB/cell. The excess energy over the best structure of this formula in the dataset is 107 meV per atom. For the uncorrected formation energy, the calculation gives 43 meV per atom.

=====

Record 10
VASP calculation (PBE-GGA) on a relaxed structure of ZnOsRu2.

The space group is P2/m (No. 10) and the conventional cell measures 2.753, 3.791 and 5.367 Å, with angles of 90.00, 90.10 and 90.00 degrees. Symmetry generates all atoms from Zn at (0.000, 0.000, 0.000), Os at (0.000, 0.000, 0.500) and Ru at (0.498, 0.500, 0.249).

The formation energy comes out at 0.5 eV per formula unit. The value obtained for the total magnetization is 0.00 μB/cell.

=====

Record 11
VASP calculation (PBE-GGA) on a relaxed structure of Nd7TlZn4.

The space group is C2/m (No. 12) and the conventional cell measures 14.268, 5.916 and 9.259 Å, with angles of 90.00, 119.95 and 90.00 degrees. Symmetry generates all atoms from Nd at (0.000, 0.000, 0.000), Nd at (0.074, 0.500, 0.404), Nd at (0.186, 0.500, 0.879), Nd at (0.223, 0.000, 0.684), Tl at (0.000, 0.500, 0.000), Zn at (0.013, 0.000, 0.672) and Zn at (0.187, 0.000, 0.338).

The formation energy comes out at -1.4 eV per formula unit. The value obtained for the total magnetization is 0.00 μB/cell.

=====

Record 12
VASP calculation (PBE-GGA) on a relaxed structure of ScSnPt.

The space group is P-62m (No. 189) and the conventional cell measures 7.4640, 7.4640 and 3.6914 Å, with angles of 90.00, 90.00 and 120.00 degrees. Symmetry generates all atoms from Sc at (0.0000, 0.3938, 0.0000), Sn at (0.0000, 0.7278, 0.5000), Pt at (0.0000, 0.0000, 0.0000) and Pt at (0.3333, 0.6667, 0.5000).

The formation energy comes out at -3.0 eV per formula unit. The value obtained for the total magnetization is 0.00 μB/cell.

=====

Record 13
VASP calculation (PBE-GGA) on a relaxed structure of SrBOF2.

The space group is P4/mmm (No. 123) and the conventional cell measures 4.471, 4.471 and 2.880 Å, with angles of 90.00, 90.00 and 90.00 degrees. Symmetry generates all atoms from Sr at (0.000, 0.000, 0.000), B at (0.500, 0.500, 0.500), O at (0.500, 0.500, 0.000) and F at (0.000, 0.500, 0.500).

The value obtained for the total magnetization is 0.00 μB/cell. The excess energy over the best structure of this formula in the dataset is 0 meV per atom. For the uncorrected formation energy, the calculation gives -1913 meV per atom.

=====

Record 14
VASP calculation (PBE-GGA) on a relaxed structure of Ac5U2S12.

The space group is C2/m (No. 12) and the conventional cell measures 16.230, 7.741 and 9.488 Å, with angles of 90.00, 107.43 and 90.00 degrees. Symmetry generates all atoms from Ac at (0.000, 0.000, 0.000), Ac at (0.190, 0.500, 0.328), Ac at (0.201, 0.500, 0.861), U at (0.000, 0.249, 0.500), S at (0.000, 0.000, 0.311), S at (0.002, 0.500, 0.697), S at (0.151, 0.251, 0.071) and S at (0.168, 0.267, 0.584).

The value obtained for the total magnetization is 6.00 μB/cell. For the uncorrected formation energy, the calculation gives -1915 meV per atom.

=====

Record 15
VASP calculation (PBE-GGA) on a relaxed structure of Cd4Sb2As.

The space group is Pbca (No. 61) and the conventional cell measures 6.603, 16.275 and 7.426 Å, with angles of 90.00, 90.00 and 90.00 degrees. Symmetry generates all atoms from Cd at (0.033, 0.155, 0.151), Cd at (0.217, 0.076, 0.718), Sb at (0.060, 0.681, 0.978) and As at (0.000, 0.000, 0.000).

The value obtained for the total magnetization is 0.00 μB/cell. The excess energy over the best structure of this formula in the dataset is 0 meV per atom. For the uncorrected formation energy, the calculation gives 30 meV per atom.

=====

Record 16
VASP calculation (PBE-GGA) on a relaxed structure of BiPb2Cl.

The space group is P4/mmm (No. 123) and the conventional cell measures 5.873, 5.873 and 3.522 Å, with angles of 90.00, 90.00 and 90.00 degrees. Symmetry generates all atoms from Bi at (0.000, 0.000, 0.000), Pb at (0.000, 0.500, 0.500) and Cl at (0.500, 0.500, 0.000).

The value obtained for the total magnetization is 0.00 μB/cell. The excess energy over the best structure of this formula in the dataset is 87 meV per atom. For the uncorrected formation energy, the calculation gives -264 meV per atom.

=====

Record 17
VASP calculation (PBE-GGA) on a relaxed structure of TcAsS3.

The space group is Pm-3m (No. 221) and the conventional cell measures 4.608, 4.608 and 4.608 Å, with angles of 90.00, 90.00 and 90.00 degrees. Symmetry generates all atoms from Tc at (0.000, 0.000, 0.000), As at (0.500, 0.500, 0.500) and S at (0.000, 0.000, 0.500).

The value obtained for the total magnetization is 0.00 μB/cell. The excess energy over the best structure of this formula in the dataset is 0 meV per atom. For the uncorrected formation energy, the calculation gives 487 meV per atom.

=====

Record 18
VASP calculation (PBE-GGA) on a relaxed structure of Pu4Mo.

The space group is Pm-3m (No. 221) and the conventional cell measures 5.269, 5.269 and 5.269 Å, with angles of 90.00, 90.00 and 90.00 degrees. Symmetry generates all atoms from Pu at (0.000, 0.000, 0.000), Pu at (0.000, 0.500, 0.500) and Mo at (0.500, 0.500, 0.500).

The formation energy comes out at 3.6 eV per formula unit. The value obtained for the total magnetization is 10.15 μB/cell.

=====

Record 19
VASP calculation (PBE-GGA) on a relaxed structure of CeHo2Ir9.

The space group is R-3m (No. 166, hexagonal axes) and the conventional cell measures 5.3147, 5.3147 and 26.3241 Å, with angles of 90.00, 90.00 and 120.00 degrees. Symmetry generates all atoms from Ce at (0.0000, 0.0000, 0.0000), Ho at (0.0000, 0.0000, 0.1398), Ir at (0.0000, 0.0000, 0.3331), Ir at (0.0000, 0.0000, 0.5000) and Ir at (0.0000, 0.5000, 0.0827).

The formation energy comes out at -7.4 eV per formula unit. The value obtained for the total magnetization is 0.00 μB/cell.

=====

Record 20
VASP calculation (PBE-GGA) on a relaxed structure of Na3Zr2ScS6.

The space group is C2/m (No. 12) and the conventional cell measures 6.431, 11.139 and 7.103 Å, with angles of 90.00, 107.57 and 90.00 degrees. Symmetry generates all atoms from Na at (0.000, 0.000, 0.000), Na at (0.000, 0.333, 0.000), Zr at (0.000, 0.166, 0.500), Sc at (0.000, 0.500, 0.500), S at (0.240, 0.334, 0.723) and S at (0.242, 0.000, 0.723).

The value obtained for the total magnetization is 0.00 μB/cell. For the uncorrected formation energy, the calculation gives -1562 meV per atom.

=====

Record 21
VASP calculation (PBE-GGA) on a relaxed structure of Ac2Zn4NiRh3.

The space group is P-4m2 (No. 115) and the conventional cell measures 4.314, 4.314 and 10.505 Å, with angles of 90.00, 90.00 and 90.00 degrees. Symmetry generates all atoms from Ac at (0.000, 0.500, 0.241), Zn at (0.000, 0.000, 0.500), Zn at (0.000, 0.500, 0.880), Zn at (0.500, 0.500, 0.500), Ni at (0.500, 0.500, 0.000), Rh at (0.000, 0.000, 0.000) and Rh at (0.000, 0.500, 0.636).

The formation energy comes out at -4.7 eV per formula unit. The value obtained for the total magnetization is 0.00 μB/cell.

=====

Record 22
VASP calculation (PBE-GGA) on a relaxed structure of VGa2Ge.

The space group is P4/mmm (No. 123) and the conventional cell measures 3.820, 3.820 and 4.353 Å, with angles of 90.00, 90.00 and 90.00 degrees. Symmetry generates all atoms from V at (0.000, 0.000, 0.000), Ga at (0.000, 0.500, 0.500) and Ge at (0.500, 0.500, 0.000).

The formation energy comes out at 0.3 eV per formula unit. The value obtained for the total magnetization is 1.81 μB/cell.

=====

Record 23
VASP calculation (PBE-GGA) on a relaxed structure of Nd2HoBi.

The space group is R3m (No. 160, hexagonal axes) and the conventional cell measures 4.1527, 4.1527 and 28.9095 Å, with angles of 90.00, 90.00 and 120.00 degrees. Symmetry generates all atoms from Nd at (0.0000, 0.0000, 0.0000), Nd at (0.0000, 0.0000, 0.1903), Ho at (0.0000, 0.0000, 0.7620) and Bi at (0.0000, 0.0000, 0.5953).

The formation energy comes out at -0.7 eV per formula unit. The value obtained for the total magnetization is 2.56 μB/cell. The excess energy over the best structure of this formula in the dataset is 211 meV per atom.

=====

E_tot list, top to bottom, in eV/atom: -7.518, -6.583, -1.723, -3.007, -6.117, -3.247, -6.687, -7.039, -6.471, -7.642, -3.519, -6.468, -5.325, -6.791, -2.335, -3.550, -4.992, -12.903, -8.517, -5.908, -4.585, -4.865, -4.681